[1]
LiLa6Ho (PBE-GGA, relaxed); volume = 548 Å³/cell; energy of formation from the pure elements = 0.6 eV per formula unit; SG = I4/mmm
1.0
5.278 0.000 0.000
0.000 5.278 0.000
0.000 0.000 19.675
Li La Ho
2 12 2
Direct
0.000 0.000 0.000
0.500 0.500 0.500
0.000 0.000 0.248
0.000 0.000 0.752
0.000 0.500 0.119
0.000 0.500 0.381
0.000 0.500 0.619
0.000 0.500 0.881
0.500 0.000 0.119
0.500 0.000 0.381
0.500 0.000 0.619
0.500 0.000 0.881
0.500 0.500 0.252
0.500 0.500 0.748
0.000 0.000 0.500
0.500 0.500 0.000

***

[2]
NaYPO2 (PBE-GGA, relaxed); volume = 80 Å³/cell; ΔE to the lowest computed polymorph = 3.35 eV/f.u.; SG = P4/mmm; uncorrected formation energy = -0.349 eV per atom
1.0
4.168 0.000 0.000
0.000 4.168 0.000
0.000 0.000 4.592
Na Y P O
1 1 1 2
Direct
0.000 0.000 0.000
0.500 0.500 0.500
0.000 0.000 0.500
0.000 0.500 0.000
0.500 0.000 0.000

***

Question: Which formula does entry 1 have?
Answer: LiLa6Ho